Compound: Y2GaCuP
Source: the Alexandria database
Functional: GGA-PBE
Structure: optimized geometry Values from VASP.

Values from the calculation:
energy = -5.5852 eV/atom
density of states at the Fermi level = 0.8051 states/eV/atom
E above lowest polymorph = 0 meV per atom
M_tot = 0.0000 μB/atom

```
&SYSTEM
  ibrav = 0, nat = 5, ntyp = 4
/
ATOMIC_SPECIES
Y 88.91 Y.upf
P 30.97 P.upf
Cu 63.55 Cu.upf
Ga 69.72 Ga.upf
ATOMIC_POSITIONS crystal
Y 0.000 0.000 0.500
Y 0.500 0.000 0.000
P 0.000 0.000 0.000
Cu 0.000 0.500 0.000
Ga 0.500 0.500 0.500
CELL_PARAMETERS angstrom
5.313 0.000 0.000
0.000 4.249 0.000
0.000 0.000 5.313
```